10
Lattice="3.487 0.000 -0.491 -0.069 3.486 -0.491 -0.013 -0.013 12.525" Properties=species:S:1:pos:R:3 comment="Tm5SN4, relaxed, DFT PBE" e_form_raw_ev_per_atom=-1.743 vol_a3_per_atom=15.2 pbc="T T T"
Tm 2.394 2.442 4.368
Tm 0.369 0.376 2.616
Tm 3.036 3.097 8.926
Tm 1.709 1.743 -0.491
Tm 1.011 1.031 7.175
N 0.685 0.699 4.859
N 2.062 2.103 2.012
N 2.720 2.774 6.683
N 1.343 1.370 9.530
S 0.000 0.000 0.000

=====

4
Lattice="9.636 -0.038 -0.022 9.241 2.732 -0.022 9.241 1.319 2.393" Properties=species:S:1:pos:R:3 comment="MnReAg2, relaxed, DFT PBE" formation_energy_mev_per_atom=559 vol_a3_per_atom=16.1 relative_energy_kj_per_mol_fu=90 pbc="T T T"
Ag 28.077 4.006 2.344
Ag 14.101 2.012 1.177
Mn 7.030 1.003 0.587
Re 21.089 3.009 1.761

=====

8
Lattice="3.603 -1.325 -1.661 -0.174 7.841 -3.078 -3.018 -1.187 11.305" Properties=species:S:1:pos:R:3 comment="AgCl6F, relaxed, DFT PBE" e_form_raw_ev_per_atom=-0.192 vol_a3_per_atom=31.5 pbc="T T T"
Cl -1.760 2.585 8.208
Cl -0.103 2.090 2.456
Cl 0.137 -0.552 4.124
Cl 2.171 2.744 -1.642
Cl 0.275 5.881 2.441
Cl 0.514 3.239 4.110
F 0.000 0.000 0.000
Ag 1.802 -0.662 -0.830

=====

4
Lattice="-0.502 -0.363 -4.864 3.527 -2.105 -2.678 -0.773 -4.380 -2.065" Properties=species:S:1:pos:R:3 comment="Gd2CuRu, relaxed, DFT PBE" formation_energy_mev_per_atom=-287 vol_a3_per_atom=20.8 pbc="T T T"
Ru 1.689 -5.136 -7.205
Gd 1.126 -3.424 -4.803
Gd 0.000 0.000 0.000
Cu 0.563 -1.712 -2.402